Entry from Alexandria: a relaxed structure of NaVFe2Ni (PBE-GGA).

Cell: 4.1958 4.9356 4.1958 Å, 90.00 90.00 90.00°
Each line ends with the local moment (μB).
Fractional positions:
1 Ni 0.5000 0.5000 0.5000  0.27
2 Na 0.0000 0.5000 0.0000  -0.03
3 Fe 0.0000 0.0000 0.5000  2.01
4 Fe 0.5000 0.0000 0.0000  1.80
5 V 0.0000 0.0000 0.0000  -1.28

***

Entry from Alexandria: a relaxed structure of Rb5CdBr8 (PBE-GGA).

Cell: 9.8009 9.8009 9.8009 Å, 60.00 60.00 60.00°
Each line ends with the local moment (μB).
Fractional positions:
1 Rb 0.0000 0.0000 0.0000  0.01
2 Rb 0.6214 0.6214 0.1357  0.00
3 Rb 0.6214 0.6214 0.6214  0.00
4 Rb 0.1357 0.6214 0.6214  0.00
5 Rb 0.6214 0.1357 0.6214  0.00
6 Cd 0.2500 0.2500 0.2500  0.00
7 Br 0.3619 0.9144 0.3619  0.06
8 Br 0.9144 0.3619 0.3619  0.06
9 Br 0.3619 0.3619 0.3619  0.06
10 Br 0.3619 0.3619 0.9144  0.06
11 Br 0.8622 0.8622 0.4134  0.19
12 Br 0.4134 0.8622 0.8622  0.19
13 Br 0.8622 0.8622 0.8622  0.19
14 Br 0.8622 0.4134 0.8622  0.19

Summary:
Its uncorrected formation energy is -1.32 eV per atom. As for the excess energy over the best structure of this formula in the dataset: 2.3 kJ per mole of atoms.

***

Entry from Alexandria: a relaxed structure of Er2VCo (PBE-GGA).

Cell: 3.4945 3.4945 8.5326 Å, 78.18 78.18 60.00°
Each line ends with the local moment (μB).
Fractional positions:
1 V 0.0000 0.0000 0.0000  2.59
2 Co 0.5000 0.5000 0.5000  0.25
3 Er 0.2359 0.2359 0.2923  0.07
4 Er 0.7641 0.7641 0.7077  0.07

***

Entry from Alexandria: a relaxed structure of La4CuGeI2 (PBE-GGA).

Cell: 4.3365 7.8372 8.0600 Å, 107.46 90.00 90.00°
Fractional positions:
1 La 0.5000 0.2284 0.2030
2 La 0.5000 0.7716 0.7970
3 La 0.0000 0.2665 0.7890
4 La 0.0000 0.7335 0.2110
5 Cu 0.0000 0.0000 0.0000
6 Ge 0.5000 0.5000 0.0000
7 I 0.5000 0.0000 0.5000
8 I 0.0000 0.5000 0.5000

Summary:
Its uncorrected formation energy is -0.81 eV per atom.

***

Per-record total magnetization, μB/f.u.: 2.74, 1.47, 3.56, 0.00
Per-record E, eV per atom: -5.19, -2.69, -5.93, -4.75
Per-record calculated density, Mg/m³: 4.67, 2.94, 8.42, 6.01